(1)
DFT (PBE) results for an optimized crystal structure of Ta3CoCu.

Structure (POSCAR):
```
Ta3CoCu
1.0
4.551 0.000 0.000
0.000 4.551 0.000
0.000 0.000 4.551
Co Cu Ta
1 1 3
Direct
0.000 0.000 0.000
0.500 0.500 0.500
0.000 0.500 0.000
0.000 0.000 0.500
0.500 0.000 0.000
```

Energy above the lowest structure with this stoichiometry ... 0 meV per atom
Total magnetization ... 0.000 μB/cell

---

(2)
DFT (PBE) results for an optimized crystal structure of TaCo4Cu.

Structure (POSCAR):
```
TaCo4Cu
1.0
-1.730 1.171 4.188
2.584 -0.614 3.854
1.711 3.708 2.285
Co Cu Ta
4 1 1
Direct
0.126 0.625 0.625
0.625 0.625 0.625
0.625 0.126 0.625
0.625 0.625 0.126
0.250 0.250 0.250
0.000 0.000 0.000
```

Energy ... -7.465 eV per atom
Total magnetization ... 3.535 μB/cell

---

(3)
DFT (PBE) results for an optimized crystal structure of TaCo2Cu.

Structure (POSCAR):
```
TaCo2Cu
1.0
4.776 -0.001 -0.003
-2.261 4.341 0.002
0.253 0.793 2.501
Co Cu Ta
2 1 1
Direct
0.000 0.000 0.000
0.500 0.000 0.500
0.000 0.500 0.500
0.500 0.500 0.000
```

Energy ... -7.362 eV per atom
Total magnetization ... 1.408 μB/cell

---

(4)
DFT (PBE) results for an optimized crystal structure of TaCoCu.

Structure (POSCAR):
```
TaCoCu
1.0
4.652 0.000 0.000
0.000 2.666 0.000
-2.326 -1.333 6.849
Ta Cu Co
2 2 2
Direct
0.676 0.176 0.352
0.324 0.824 0.648
0.745 0.500 0.000
0.255 0.500 0.000
0.153 0.653 0.307
0.847 0.347 0.693
```

Energy above the lowest structure with this stoichiometry ... 226 meV per atom
Total magnetization ... 0.000 μB/cell